The following is a DFT calculation (PBE) of an optimized crystal structure of Ba2CdRh.

a b c (Å): 3.9224 5.4604 12.0827
angles (deg): 90.00 90.00 90.00
Space group Imm2 (No. 44)
Symmetry-distinct sites (fractional):
Ba: 0.0000 0.0000 0.0000 x2
Ba: 0.0000 0.5000 0.1955 x2
Cd: 0.0000 0.5000 0.8105 x2
Rh: 0.0000 0.0000 0.4740 x2

Calculated values
Electronic total energy   -3.146 eV/atom
E_form   -0.1180 eV per atom